Entry from the Alexandria database: a relaxed structure of Tb5Pm2Tm5 (PBE).

Cell: 5.007 7.927 10.636 Å, 72.66 76.38 71.59°
Positions (direct):
Tm 0.751 0.248 0.250
Tm 0.832 0.836 0.500
Tm 0.000 0.000 0.000
Tm 0.168 0.164 0.500
Tm 0.249 0.752 0.750
Tb 0.334 0.333 0.999
Tb 0.666 0.667 0.001
Tb 0.585 0.081 0.749
Tb 0.415 0.919 0.251
Tb 0.500 0.500 0.500
Pm 0.083 0.582 0.251
Pm 0.917 0.418 0.749

Output
Formation enthalpy at 0 K: 21 meV/atom
VASP energy: -4.563 eV/atom
SG: C2/m, No. 12